Entry 1:
First-principles (PBE-GGA) data for a relaxed structure of Li2TmZn2Si2, as listed in Alexandria via LeMat-Bulk.

The mass density is 5.31 g/cm³. The space-group type is No. 166. The calculation puts the spin magnetization at 0.0 μB/f.u. The total energy is -24.68 eV/f.u.

a = 8.147 Å, b = 8.147 Å, c = 8.147 Å
α = 29.44°, β = 29.44°, γ = 29.44°
Element x y z (fractional)
Li1 0.142 0.142 0.142
Li2 0.858 0.858 0.858
Tm1 0.000 0.000 0.000
Zn1 0.425 0.425 0.425
Zn2 0.575 0.575 0.575
Si1 0.257 0.257 0.257
Si2 0.743 0.743 0.743

---

Entry 2:
First-principles (PBE-GGA) data for a relaxed structure of LiUSi, as listed in Alexandria via LeMat-Bulk.

The mass density is 7.94 g/cm³. The space-group type is No. 69. The calculation puts the spin magnetization at 2.1 μB/f.u. The total energy is -18.30 eV/f.u.

a = 7.179 Å, b = 6.930 Å, c = 4.274 Å
α = 75.59°, β = 69.21°, γ = 35.21°
Element x y z (fractional)
Li1 0.168 0.832 0.168
Li2 0.832 0.168 0.832
U1 0.250 0.250 0.250
U2 0.750 0.750 0.750
Si1 0.405 0.405 0.595
Si2 0.595 0.595 0.405

---

Entry 3:
First-principles (PBE-GGA) data for a relaxed structure of LiV2Si, as listed in Alexandria via LeMat-Bulk.

The mass density is 4.15 g/cm³. The space-group type is No. 122. The calculation puts the spin magnetization at 0.9 μB/f.u. The total energy is -24.31 eV/f.u.

a = 5.322 Å, b = 5.322 Å, c = 5.322 Å
α = 102.29°, β = 102.29°, γ = 125.06°
Element x y z (fractional)
Li1 0.000 0.000 0.000
Li2 0.750 0.250 0.500
V1 0.131 0.625 0.006
V2 0.375 0.381 0.506
V3 0.619 0.125 0.994
V4 0.875 0.869 0.494
Si1 0.250 0.750 0.500
Si2 0.500 0.500 0.000